No. 1
An optimized crystal structure of ErHPb. Source: Alexandria via LeMat-Bulk, functional PBE.

Results
Excess energy over the best structure of this formula in the dataset (meV/atom): 84.4

Lattice parameters (Å, degrees): 3.5412 5.5838 6.2961 85.23 73.73 89.86
Fractional coordinates of all 6 atoms:
Er 0.1366 0.3556 0.2299
Er 0.8634 0.6444 0.7701
H 0.2701 0.6227 0.9575
H 0.7299 0.3773 0.0425
Pb 0.3923 0.1502 0.7087
Pb 0.6077 0.8498 0.2913

***

No. 2
An optimized crystal structure of Sc2ZnIr. Source: Alexandria via LeMat-Bulk, functional PBE.

Results
Excess energy over the best structure of this formula in the dataset (meV/atom): 202.8

Lattice parameters (Å, degrees): 4.5695 4.5695 4.5695 60.00 60.00 60.00
Fractional coordinates of all 4 atoms:
Sc 0.0000 0.0000 0.0000
Sc 0.2500 0.2500 0.2500
Zn 0.7500 0.7500 0.7500
Ir 0.5000 0.5000 0.5000

***

No. 3
An optimized crystal structure of BaZn2Br. Source: Alexandria via LeMat-Bulk, functional PBE.

Results
Excess energy over the best structure of this formula in the dataset (meV/atom): 169.2
Uncorrected formation energy (kJ per mole of atoms): -44.14

Lattice parameters (Å, degrees): 5.4948 5.4948 5.4948 60.00 60.00 60.00
Fractional coordinates of all 4 atoms:
Ba 0.0000 0.0000 0.0000
Zn 0.2500 0.2500 0.2500
Zn 0.5000 0.5000 0.5000
Br 0.7500 0.7500 0.7500

***

No. 4
An optimized crystal structure of CeIrAu. Source: Alexandria via LeMat-Bulk, functional PBE.

Results
Excess energy over the best structure of this formula in the dataset (meV/atom): 476.2

Lattice parameters (Å, degrees): 7.7022 7.7022 7.7022 151.00 139.85 50.28
Fractional coordinates of all 6 atoms:
Ce 0.1604 0.1604 0.0000
Ce 0.8396 0.8396 0.0000
Ir 0.2579 0.0000 0.2579
Ir 0.7421 0.0000 0.7421
Au 0.3764 0.3764 0.0000
Au 0.6236 0.6236 0.0000

***

No. 5
An optimized crystal structure of Al3GaIr2. Source: Alexandria via LeMat-Bulk, functional PBE.

Lattice parameters (Å, degrees): 3.9236 8.1132 5.7159 90.00 90.00 90.00
Fractional coordinates of all 12 atoms:
Al 0.0000 0.0953 0.0000
Al 0.0000 0.2799 0.4089
Al 0.0000 0.7201 0.9089
Al 0.0000 0.9047 0.5000
Al 0.5000 0.2212 0.7152
Al 0.5000 0.7788 0.2152
Ga 0.5000 0.4005 0.1257
Ga 0.5000 0.5995 0.6257
Ir 0.0000 0.4097 0.8093
Ir 0.0000 0.5903 0.3093
Ir 0.5000 0.0845 0.3152
Ir 0.5000 0.9155 0.8152

***

No. 6
An optimized crystal structure of K2AlCl. Source: Alexandria via LeMat-Bulk, functional PBE.

Results
Excess energy over the best structure of this formula in the dataset (meV/atom): 41.2
Uncorrected formation energy (kJ per mole of atoms): -58.38

Lattice parameters (Å, degrees): 4.0666 4.0666 10.1143 100.85 100.85 58.54
Fractional coordinates of all 4 atoms:
K 0.2346 0.2346 0.2059
K 0.7654 0.7654 0.7941
Al 0.0000 0.0000 0.5000
Cl 0.5000 0.5000 0.0000

***

No. 7
An optimized crystal structure of TaAlH3. Source: Alexandria via LeMat-Bulk, functional PBE.

Lattice parameters (Å, degrees): 3.5938 3.5938 3.5938 90.00 90.00 90.00
Fractional coordinates of all 5 atoms:
Ta 0.0000 0.0000 0.0000
Al 0.5000 0.5000 0.5000
H 0.0000 0.0000 0.5000
H 0.0000 0.5000 0.0000
H 0.5000 0.0000 0.0000

***

No. 8
An optimized crystal structure of Ag5Hg. Source: Alexandria via LeMat-Bulk, functional PBE.

Results
Excess energy over the best structure of this formula in the dataset (meV/atom): 119.4

Lattice parameters (Å, degrees): 5.5378 5.5378 5.5378 60.00 60.00 60.00
Fractional coordinates of all 6 atoms:
Ag 0.0000 0.0000 0.0000
Ag 0.3748 0.3748 0.3748
Ag 0.3748 0.3748 0.8755
Ag 0.3748 0.8755 0.3748
Ag 0.8755 0.3748 0.3748
Hg 0.7500 0.7500 0.7500

***

No. 9
An optimized crystal structure of NaSbCl2O. Source: Alexandria via LeMat-Bulk, functional PBE.

Results
Uncorrected formation energy (kJ per mole of atoms): -55.36

Lattice parameters (Å, degrees): 5.9447 5.9447 3.9266 90.00 90.00 90.00
Fractional coordinates of all 5 atoms:
Na 0.0000 0.0000 0.0000
Sb 0.5000 0.5000 0.0000
Cl 0.0000 0.5000 0.5000
Cl 0.5000 0.0000 0.5000
O 0.5000 0.5000 0.5000

***

No. 10
An optimized crystal structure of CsAl3Fe. Source: Alexandria via LeMat-Bulk, functional PBE.

Lattice parameters (Å, degrees): 4.8084 4.8084 4.8084 90.00 90.00 90.00
Fractional coordinates of all 5 atoms:
Cs 0.0000 0.0000 0.0000
Al 0.0000 0.5000 0.5000
Al 0.5000 0.0000 0.5000
Al 0.5000 0.5000 0.0000
Fe 0.5000 0.5000 0.5000

***

No. 11
An optimized crystal structure of LaNdSe. Source: Alexandria via LeMat-Bulk, functional PBE.

Results
Excess energy over the best structure of this formula in the dataset (meV/atom): 50.7
Uncorrected formation energy (kJ per mole of atoms): -103.82

Lattice parameters (Å, degrees): 7.1843 7.1843 7.8053 90.00 90.00 104.24
Fractional coordinates of all 12 atoms:
La 0.2052 0.2052 0.0000
La 0.2948 0.2948 0.5000
La 0.7052 0.7052 0.5000
La 0.7948 0.7948 0.0000
Nd 0.2023 0.7977 0.6641
Nd 0.2977 0.7023 0.1641
Nd 0.7023 0.2977 0.8359
Nd 0.7977 0.2023 0.3359
Se 0.0625 0.9375 0.3014
Se 0.4375 0.5625 0.8014
Se 0.5625 0.4375 0.1986
Se 0.9375 0.0625 0.6986

***

No. 12
An optimized crystal structure of PmHoGeS. Source: Alexandria via LeMat-Bulk, functional PBE.

Results
Uncorrected formation energy (kJ per mole of atoms): -139.39

Lattice parameters (Å, degrees): 7.1205 7.1205 7.1205 33.39 33.39 33.39
Fractional coordinates of all 4 atoms:
Pm 0.0000 0.0000 0.0000
Ho 0.4996 0.4996 0.4996
Ge 0.2472 0.2472 0.2472
S 0.7532 0.7532 0.7532

***

Number 1: E_tot -0.1590 hartree per atom, size of the total moment 0.00 μB per formula unit. Number 2: E_tot -0.2285 hartree per atom, size of the total moment 0.00 μB per formula unit. Number 3: E_tot -0.0733 hartree per atom, size of the total moment 0.08 μB per formula unit. Number 4: E_tot -0.2279 hartree per atom, size of the total moment 0.31 μB per formula unit. Number 5: E_tot -0.2216 hartree per atom, size of the total moment 0.00 μB per formula unit. Number 6: E_tot -0.0938 hartree per atom, size of the total moment 0.00 μB per formula unit. Number 7: E_tot -0.1802 hartree per atom, size of the total moment 0.00 μB per formula unit. Number 8: E_tot -0.0834 hartree per atom, size of the total moment 0.00 μB per formula unit. Number 9: E_tot -0.1247 hartree per atom, size of the total moment 0.00 μB per formula unit. Number 10: E_tot -0.1464 hartree per atom, size of the total moment 0.00 μB per formula unit. Number 11: E_tot -0.2010 hartree per atom, size of the total moment 0.00 μB per formula unit. Number 12: E_tot -0.2191 hartree per atom, size of the total moment 0.00 μB per formula unit.